(1)
Sc2SiSeS: relaxed, GGA-PBE.

Cell lengths 5.077, 5.077, 4.567 Å; angles 90.00, 90.00, 90.00 degrees
Positions (direct):
Sc1 0.000 0.500 0.000
Sc2 0.500 0.000 0.000
Si1 0.000 0.000 0.500
Se1 0.000 0.000 0.000
S1 0.500 0.500 0.500

Computed properties:
Energy relative to the elements, uncorrected   0.0 eV per formula unit
Fermi-level density of states   4.7 states/eV/cell
Space group   P4/mmm


(2)
TaIr2Se: relaxed, GGA-PBE.

Cell lengths 6.872, 6.872, 6.872 Å; angles 130.83, 130.83, 72.08 degrees
Positions (direct):
Ta1 0.000 0.000 0.000
Ta2 0.750 0.250 0.500
Ir1 0.141 0.625 0.016
Ir2 0.375 0.391 0.516
Ir3 0.609 0.125 0.984
Ir4 0.875 0.859 0.484
Se1 0.250 0.750 0.500
Se2 0.500 0.500 0.000

Computed properties:
Energy relative to the elements, uncorrected   1.0 eV per formula unit
Fermi-level density of states   3.9 states/eV/cell
Space group   I-42d


(3)
AcNd3H8: relaxed, GGA-PBE.

Cell lengths 5.576, 5.576, 5.576 Å; angles 90.00, 90.00, 90.00 degrees
Positions (direct):
Ac1 0.000 0.000 0.000
Nd1 0.000 0.500 0.500
Nd2 0.500 0.000 0.500
Nd3 0.500 0.500 0.000
H1 0.260 0.260 0.260
H2 0.260 0.260 0.740
H3 0.260 0.740 0.260
H4 0.260 0.740 0.740
H5 0.740 0.260 0.260
H6 0.740 0.260 0.740
H7 0.740 0.740 0.260
H8 0.740 0.740 0.740

Computed properties:
Fermi-level density of states   2.6 states/eV/cell
Space group   Pm-3m
Energy   -4.3977 eV per atom


Number 1: total moment 0.00 μB/f.u., V 117.7 Å³/cell. Number 2: total moment 0.00 μB/f.u., V 181.6 Å³/cell. Number 3: total moment 0.00 μB/f.u., V 173.4 Å³/cell.